{
  "formula": "CaCo2Br",
  "functional": "PBE",
  "state": "optimized geometry",
  "cell": [[3.347, 0.000, 0.000], [0.000, 3.347, 0.000], [0.000, 0.000, 7.787]],
  "species": ["Ca", "Co", "Co", "Br"],
  "fractional_positions": [[0.000, 0.000, 0.000], [0.000, 0.000, 0.350], [0.500, 0.500, 0.291], [0.500, 0.500, 0.784]],
  "magmom_total_mub_per_fu": 3.2,
  "raw_formation_energy_kcal_per_mol_atoms": -1.74,
  "de_polymorph_mev_per_atom": 97.2,
  "spacegroup": "P4mm (99)",
  "total_energy_ev_per_atom": -4.547
}

=====

{
  "formula": "Mg4CoRh",
  "functional": "PBE",
  "state": "optimized geometry",
  "cell": [[0.000, 3.766, 3.766], [3.766, 0.000, 3.766], [3.766, 3.766, 0.000]],
  "species": ["Mg", "Mg", "Mg", "Mg", "Co", "Rh"],
  "fractional_positions": [[0.125, 0.125, 0.125], [0.125, 0.125, 0.625], [0.125, 0.625, 0.125], [0.625, 0.125, 0.125], [0.500, 0.500, 0.500], [0.750, 0.750, 0.750]],
  "magmom_total_mub_per_fu": 1.8,
  "spacegroup": "F-43m (216)",
  "formation_energy_ev_per_atom": 0.43,
  "total_energy_ev_per_atom": -3.039
}

=====

{
  "formula": "RbTa3Br",
  "functional": "PBE",
  "state": "optimized geometry",
  "cell": [[4.946, 0.000, 0.000], [0.000, 4.946, 0.000], [0.000, 0.000, 4.946]],
  "species": ["Rb", "Ta", "Ta", "Ta", "Br"],
  "fractional_positions": [[0.000, 0.000, 0.000], [0.000, 0.000, 0.500], [0.000, 0.500, 0.000], [0.500, 0.000, 0.000], [0.500, 0.500, 0.500]],
  "magmom_total_mub_per_fu": 0.0,
  "raw_formation_energy_kcal_per_mol_atoms": 78.37,
  "de_polymorph_mev_per_atom": 1428.6,
  "spacegroup": "Pm-3m (221)",
  "total_energy_ev_per_atom": -4.241
}

=====

{
  "formula": "CaPaB12",
  "functional": "PBE",
  "state": "optimized geometry",
  "cell": [[4.096, 0.000, 0.000], [0.000, 4.096, 0.000], [0.000, 0.000, 8.238]],
  "species": ["Ca", "Pa", "B", "B", "B", "B", "B", "B", "B", "B", "B", "B", "B", "B"],
  "fractional_positions": [[0.000, 0.000, 0.000], [0.000, 0.000, 0.500], [0.199, 0.500, 0.252], [0.199, 0.500, 0.748], [0.500, 0.199, 0.252], [0.500, 0.199, 0.748], [0.500, 0.500, 0.100], [0.500, 0.500, 0.402], [0.500, 0.500, 0.598], [0.500, 0.500, 0.900], [0.500, 0.801, 0.252], [0.500, 0.801, 0.748], [0.801, 0.500, 0.252], [0.801, 0.500, 0.748]],
  "magmom_total_mub_per_fu": 1.0,
  "spacegroup": "P4/mmm (123)",
  "formation_energy_ev_per_atom": -0.38,
  "total_energy_ev_per_atom": -6.929
}

=====

{
  "formula": "PmGe2Se3",
  "functional": "PBE",
  "state": "optimized geometry",
  "cell": [[8.476, 0.000, 0.000], [0.000, 4.071, 0.000], [-4.083, 0.000, 10.980]],
  "species": ["Pm", "Pm", "Ge", "Ge", "Ge", "Ge", "Se", "Se", "Se", "Se", "Se", "Se"],
  "fractional_positions": [[0.204, 0.250, 0.189], [0.796, 0.750, 0.811], [0.258, 0.750, 0.470], [0.473, 0.750, 0.055], [0.527, 0.250, 0.945], [0.742, 0.250, 0.530], [0.058, 0.250, 0.370], [0.166, 0.750, 0.993], [0.435, 0.750, 0.329], [0.565, 0.250, 0.671], [0.834, 0.250, 0.007], [0.942, 0.750, 0.630]],
  "magmom_total_mub_per_fu": 0.0,
  "raw_formation_energy_kcal_per_mol_atoms": -17.48,
  "spacegroup": "P2_1/m (11)",
  "total_energy_ev_per_atom": -4.831
}

=====

{
  "formula": "TiBiSe2",
  "functional": "PBE",
  "state": "optimized geometry",
  "cell": [[3.799, 0.000, 0.000], [0.000, 21.477, 0.000], [0.000, 0.000, 4.954]],
  "species": ["Ti", "Ti", "Ti", "Ti", "Bi", "Bi", "Bi", "Bi", "Se", "Se", "Se", "Se", "Se", "Se", "Se", "Se"],
  "fractional_positions": [[0.000, 0.053, 0.250], [0.000, 0.947, 0.750], [0.500, 0.447, 0.750], [0.500, 0.553, 0.250], [0.000, 0.320, 0.250], [0.000, 0.680, 0.750], [0.500, 0.180, 0.750], [0.500, 0.820, 0.250], [0.000, 0.064, 0.750], [0.000, 0.182, 0.250], [0.000, 0.818, 0.750], [0.000, 0.936, 0.250], [0.500, 0.318, 0.750], [0.500, 0.436, 0.250], [0.500, 0.564, 0.750], [0.500, 0.682, 0.250]],
  "magmom_total_mub_per_fu": 1.1,
  "raw_formation_energy_kcal_per_mol_atoms": -6.43,
  "spacegroup": "Cmcm (63)",
  "total_energy_ev_per_atom": -4.965
}

=====

{
  "formula": "RbHfTl",
  "functional": "PBE",
  "state": "optimized geometry",
  "cell": [[3.416, 0.000, 0.000], [0.000, 4.999, 0.000], [-1.703, -0.020, 13.541]],
  "species": ["Rb", "Rb", "Hf", "Hf", "Tl", "Tl"],
  "fractional_positions": [[0.000, 0.000, 0.000], [0.161, 0.502, 0.313], [0.295, 0.497, 0.583], [0.882, 0.498, 0.758], [0.378, 0.998, 0.749], [0.768, 0.997, 0.530]],
  "magmom_total_mub_per_fu": 0.0,
  "de_polymorph_mev_per_atom": 109.0,
  "spacegroup": "P1 (1)",
  "formation_energy_ev_per_atom": 0.25,
  "total_energy_ev_per_atom": -4.181
}

=====

{
  "formula": "Cs2SeCl",
  "functional": "PBE",
  "state": "optimized geometry",
  "cell": [[4.081, 0.000, 0.000], [0.000, 4.081, 0.000], [0.000, 0.000, 9.236]],
  "species": ["Cs", "Cs", "Se", "Cl"],
  "fractional_positions": [[0.000, 0.000, 0.230], [0.000, 0.000, 0.770], [0.500, 0.500, 0.500], [0.500, 0.500, 0.000]],
  "magmom_total_mub_per_fu": 0.5,
  "raw_formation_energy_kcal_per_mol_atoms": -28.67,
  "de_polymorph_mev_per_atom": 175.4,
  "spacegroup": "P4/mmm (123)",
  "total_energy_ev_per_atom": -3.003
}